This record from the Alexandria database describes a relaxed NiSe2I crystal. The functional is PBE.

```
NiSe2I
1.0
7.115 0.000 0.000
0.000 4.302 0.000
0.000 0.000 12.341
Se I Ni
8 4 4
Cartesian
6.233 1.075 5.564
1.517 3.226 3.088
2.675 1.075 0.607
5.075 3.226 3.083
4.440 3.226 11.734
2.040 1.075 9.258
5.597 1.075 9.253
0.882 3.226 6.777
3.239 1.075 4.473
6.797 1.075 1.697
3.876 3.226 7.867
0.318 3.226 10.643
6.785 3.226 4.734
0.330 1.075 7.607
3.887 1.075 10.904
3.227 3.226 1.437
```

* N(E_F): 9.7 states/eV/cell
* space group: No. 62
* E_form (uncorrected): 0.09 eV per atom
* offset from the most stable computed form: 235.4 meV per atom
* spin magnetization: 0.000 μB per atom


This record from the Alexandria database describes a relaxed Ni5Se3I12 crystal. The functional is PBE.

```
Ni5Se3I12
1.0
-12.180 -4.544 -7.243
11.749 -7.878 -4.623
-1.883 -2.018 14.623
Se Ni I
12 20 48
Cartesian
-2.282 -2.878 3.095
-0.031 -11.562 -0.338
7.346 -8.975 6.017
-5.381 -5.566 -0.199
-0.233 -4.304 10.734
2.651 -7.826 8.095
-9.659 -5.465 -3.260
-4.964 -6.614 -5.338
3.067 -8.874 2.956
-2.081 -10.136 -7.977
2.305 -7.132 -1.950
-4.619 -7.308 4.707
-1.866 -3.926 -2.044
2.413 -4.027 1.017
-4.726 -10.413 1.740
-7.031 -3.281 3.690
-6.090 -2.272 -3.622
-9.314 -6.159 6.785
4.933 -4.948 5.000
-4.511 -4.202 7.673
-2.498 -9.088 -2.838
-0.448 -10.514 4.801
-0.215 -6.211 -5.933
0.000 0.000 0.000
0.184 -5.352 5.595
7.000 -8.281 -4.028
6.583 -7.233 1.111
5.874 -3.939 -2.311
-1.157 -7.220 1.379
-0.941 -1.009 7.312
-8.897 -7.207 1.646
2.197 -10.237 -4.916
-0.148 -4.753 -3.666
1.072 -1.969 1.498
2.567 -6.115 5.558
-11.307 -6.550 1.796
5.615 -11.130 4.702
-4.302 -4.018 -2.610
-4.018 -6.656 7.637
4.782 -8.827 0.420
4.474 -10.284 8.177
2.793 -11.993 0.761
-5.755 -10.060 3.994
2.770 -4.684 10.273
-6.787 -4.156 -5.420
3.441 -4.380 -1.237
8.993 -7.890 0.961
-2.798 -2.570 8.489
-2.353 -5.198 0.055
-5.084 -9.756 -7.516
6.023 -6.394 6.998
-7.775 -7.437 -0.579
5.592 -6.240 -3.688
-4.881 -8.325 -2.801
9.409 -8.296 -3.350
1.295 -6.256 0.804
1.704 -7.784 -4.880
-11.723 -6.144 6.107
-2.166 -7.794 -4.955
-0.375 -2.914 5.490
-1.938 -11.525 -2.733
-2.542 -3.753 12.667
-7.906 -8.200 6.445
-5.107 -2.446 1.996
0.039 -9.242 2.702
-2.165 -9.687 6.423
-1.006 -8.708 -0.865
5.461 -7.003 3.336
1.988 -10.422 5.367
0.228 -10.687 -9.910
-3.608 -8.184 1.953
-5.093 -4.331 5.243
-7.096 -5.612 2.337
-3.386 -12.471 1.259
-7.928 -3.310 -1.945
-8.337 -8.046 -4.241
-0.148 -6.645 7.712
2.780 -10.109 -2.486
-1.307 -5.731 3.622
0.484 -11.870 -5.732
```

* N(E_F): 108.4 states/eV/cell
* space group: No. 230
* E_form (uncorrected): 0.23 eV per atom
* spin magnetization: 0.000 μB per atom


This record from the Alexandria database describes a relaxed Ni2SeI crystal. The functional is PBE.

```
Ni2SeI
1.0
5.595 0.000 0.000
0.000 5.595 0.000
2.797 2.797 5.555
I Ni Se
2 4 2
Cartesian
5.595 2.797 2.777
0.000 0.000 0.000
3.979 1.399 1.389
4.196 4.413 4.166
6.994 6.777 4.166
1.616 4.196 1.389
2.797 2.797 0.000
2.797 5.595 2.777
```

* N(E_F): 15.4 states/eV/cell
* space group: No. 122
* E_form (uncorrected): -0.03 eV per atom
* offset from the most stable computed form: 42.1 meV per atom
* spin magnetization: 0.000 μB per atom


This record from the Alexandria database describes a relaxed NiSe2I crystal. The functional is PBE.

```
NiSe2I
1.0
-4.467 -0.326 -6.214
5.353 -5.981 -3.534
-3.236 -4.407 2.557
Ni Se I
4 8 4
Cartesian
-1.961 -4.023 -3.524
-1.448 -8.132 -2.831
-2.736 -9.351 -6.562
-0.673 -2.804 0.207
0.647 -5.339 -6.740
-0.475 -8.933 -7.314
-2.126 -4.187 -1.140
-0.548 -3.667 -5.454
-4.146 -4.589 -4.388
-0.965 -0.542 -0.597
-0.893 -5.808 -2.456
2.667 -4.938 -3.492
-2.088 -1.514 -3.661
-2.771 -6.835 -6.572
0.634 -7.980 -4.238
1.316 -2.659 -1.327
```

* N(E_F): 11.3 states/eV/cell
* space group: No. 33
* E_form (uncorrected): -0.05 eV per atom
* offset from the most stable computed form: 93.1 meV per atom
* spin magnetization: 0.000 μB per atom


This record from the Alexandria database describes a relaxed NiSe2I crystal. The functional is PBE.

```
NiSe2I
1.0
-5.838 1.434 11.987
-7.107 -1.275 11.299
-4.344 -1.169 12.632
Se Ni I
2 1 1
Cartesian
-0.979 -0.057 2.033
-16.310 -0.954 33.885
0.000 0.000 0.000
-8.644 -0.505 17.959
```

* N(E_F): 3.7 states/eV/cell
* space group: No. 166
* E_form (uncorrected): 0.40 eV per atom
* offset from the most stable computed form: 538.0 meV per atom
* spin magnetization: 0.045 μB per atom


This record from the Alexandria database describes a relaxed NiSe2I crystal. The functional is PBE.

```
NiSe2I
1.0
-12.053 2.994 -8.893
-5.388 -3.622 -0.606
-0.135 -2.328 6.089
I Ni Se
2 2 4
Cartesian
-10.897 0.286 -4.841
-3.955 -0.226 -1.304
-13.217 -2.210 -2.540
-7.162 -3.677 1.878
-12.158 1.505 -7.054
-2.699 -1.445 0.910
-6.647 -0.547 -2.096
-8.208 0.610 -4.050
```

* N(E_F): 3.4 states/eV/cell
* space group: No. 15
* E_form (uncorrected): -0.02 eV per atom
* offset from the most stable computed form: 124.7 meV per atom
* spin magnetization: 0.000 μB per atom


This record from the Alexandria database describes a relaxed NiSe2I crystal. The functional is PBE.

```
NiSe2I
1.0
8.139 0.000 0.000
0.000 3.586 0.000
0.000 0.000 16.877
Ni Se I
4 8 4
Cartesian
7.882 2.690 15.575
0.257 0.897 1.302
4.327 0.897 7.137
3.812 2.690 9.741
5.314 2.690 5.975
1.244 2.690 2.463
2.849 2.690 7.524
1.221 0.897 15.962
2.826 0.897 10.902
6.918 2.690 0.915
5.290 0.897 9.353
6.895 0.897 14.414
7.904 2.690 6.498
3.834 2.690 1.941
0.236 0.897 10.379
4.305 0.897 14.937
```

* N(E_F): 9.1 states/eV/cell
* space group: No. 62
* E_form (uncorrected): -0.11 eV per atom
* offset from the most stable computed form: 31.0 meV per atom
* spin magnetization: 0.000 μB per atom


This record from the Alexandria database describes a relaxed NiSe2I crystal. The functional is PBE.

```
NiSe2I
1.0
6.650 0.000 0.000
0.000 6.650 0.000
3.325 3.325 4.787
Se I Ni
4 2 2
Cartesian
8.312 7.634 3.590
4.309 1.662 1.197
2.341 4.987 1.197
4.987 5.666 3.590
6.650 3.325 2.393
0.000 0.000 0.000
3.325 3.325 0.000
3.325 6.650 2.393
```

* N(E_F): 8.4 states/eV/cell
* space group: No. 122
* E_form (uncorrected): 0.12 eV per atom
* offset from the most stable computed form: 261.1 meV per atom
* spin magnetization: 0.000 μB per atom


This record from the Alexandria database describes a relaxed NiSe2I crystal. The functional is PBE.

```
NiSe2I
1.0
16.469 0.000 1.643
0.000 4.934 0.000
-5.439 0.000 4.814
Ni Se I
4 8 4
Cartesian
7.186 0.039 3.473
9.358 2.506 6.212
3.843 4.895 2.984
1.672 2.428 0.244
5.740 3.431 2.472
12.828 1.839 4.436
11.255 3.970 5.700
-0.225 0.964 0.757
3.716 4.306 5.249
7.313 0.628 1.208
-1.799 3.095 2.021
5.289 1.503 3.985
1.755 3.398 2.634
3.760 0.931 0.594
7.270 4.003 5.863
9.274 1.536 3.822
```

* N(E_F): 10.3 states/eV/cell
* space group: No. 14
* E_form (uncorrected): -0.08 eV per atom
* offset from the most stable computed form: 63.7 meV per atom
* spin magnetization: 0.000 μB per atom


This record from the Alexandria database describes a relaxed NiSe2I crystal. The functional is PBE.

```
NiSe2I
1.0
-4.785 -2.207 -7.381
-5.027 -5.690 4.960
-6.812 -1.759 -0.630
I Ni Se
2 2 4
Cartesian
-10.765 -6.802 -2.130
-5.859 -2.853 -0.920
-8.372 -5.698 1.560
-8.251 -3.957 -4.610
-3.818 -3.895 2.158
-5.994 -4.002 -4.579
-2.425 -1.567 -2.050
-7.387 -6.330 -0.371
```

* N(E_F): 10.2 states/eV/cell
* space group: No. 140
* E_form (uncorrected): 0.14 eV per atom
* offset from the most stable computed form: 285.6 meV per atom
* spin magnetization: 0.000 μB per atom


This record from the Alexandria database describes a relaxed NiSe2I crystal. The functional is PBE.

```
NiSe2I
1.0
5.107 7.405 -9.930
-8.268 -5.977 8.686
0.402 3.051 2.482
Ni Se I
2 4 2
Cartesian
-4.088 -1.132 3.628
1.329 5.612 -2.391
-6.129 -1.850 7.990
3.370 6.330 -6.752
2.546 6.830 -4.085
-5.305 -2.350 5.322
4.709 8.994 -7.095
-7.468 -4.514 8.333
```

* N(E_F): 6.0 states/eV/cell
* space group: No. 63
* E_form (uncorrected): 0.07 eV per atom
* offset from the most stable computed form: 210.8 meV per atom
* spin magnetization: 0.000 μB per atom


This record from the Alexandria database describes a relaxed NiSe2I crystal. The functional is PBE.

```
NiSe2I
1.0
6.494 -0.272 -0.056
0.157 9.367 0.010
-0.790 -0.664 3.915
Ni Se I
2 4 2
Cartesian
3.219 -0.492 3.353
-0.142 1.160 3.067
2.076 1.284 2.260
5.099 8.717 1.663
5.420 1.717 0.799
1.790 0.042 0.242
1.052 4.216 0.115
3.018 6.468 2.423
```

* N(E_F): 0.0 states/eV/cell
* space group: No. 1
* E_form (uncorrected): -0.12 eV per atom
* offset from the most stable computed form: 18.9 meV per atom
* spin magnetization: 0.000 μB per atom